# Na3Ac3MnO8

Na3Ac3MnO8 after structural relaxation (PBE with a Hubbard U, Alexandria).

Cell: 6.971 6.971 6.971 Å, 62.77 62.77 62.77°
Positions (direct):
Na: 0.000 0.500 0.500
Na: 0.500 0.000 0.500
Na: 0.500 0.500 0.000
Ac: 0.000 0.000 0.500
Ac: 0.000 0.500 0.000
Ac: 0.500 0.000 0.000
Mn: 0.500 0.500 0.500
O: 0.243 0.243 0.243
O: 0.290 0.704 0.704
O: 0.296 0.296 0.710
O: 0.296 0.710 0.296
O: 0.704 0.290 0.704
O: 0.704 0.704 0.290
O: 0.710 0.296 0.296
O: 0.757 0.757 0.757

Mass density in g/cm3: 6.09
Energy in eV per cell: -97.27